Al3TcPd | GGA-PBEsol | optimized geometry

Energy of formation from the pure elements ... 0.6396 eV per atom
SG ... Pm-3m, No. 221

Unit cell a=4.563 b=4.563 c=4.563 alpha=90.00 beta=90.00 gamma=90.00
Element x y z (fractional)
Al  0.000  0.000  0.500
Al  0.000  0.500  0.000
Al  0.500  0.000  0.000
Tc  0.500  0.500  0.500
Pd  0.000  0.000  0.000